1.
Entry from Alexandria: a relaxed La6TePt2Br3 crystal (PBE).

As for the energy relative to the elements, uncorrected: -1.35 eV/atom.

It has space group C2/m (No. 12), with a = 19.4787 Å, b = 4.2634 Å, c = 9.2374 Å, α = 90.00°, β = 102.74° and γ = 90.00°. The inequivalent atoms are La at (0.0113, 0.0000, 0.2597), La at (0.1709, 0.5000, 0.1195), La at (0.1742, 0.5000, 0.5506), Te at (0.0000, 0.5000, 0.0000), Pt at (0.1674, 0.0000, 0.3312), Br at (0.0000, 0.5000, 0.5000) and Br at (0.1594, 0.0000, 0.8315).

=====

2.
Entry from Alexandria: a relaxed La4TePtBr2 crystal (PBE).

As for the energy relative to the elements, uncorrected: -1.37 eV/atom.

It has space group P2/m (No. 10), with a = 7.6261 Å, b = 4.2794 Å, c = 8.0414 Å, α = 90.00°, β = 108.36° and γ = 90.00°. The inequivalent atoms are La at (0.2175, 0.0000, 0.2145), La at (0.2466, 0.5000, 0.7679), Te at (0.0000, 0.0000, 0.5000), Pt at (0.0000, 0.5000, 0.0000), Br at (0.5000, 0.0000, 0.0000) and Br at (0.5000, 0.5000, 0.5000).

=====

3.
Entry from Alexandria: a relaxed La6TlPt2Br3 crystal (PBE).

As for the energy relative to the elements, uncorrected: -1.15 eV/atom.

It has space group C2/m (No. 12), with a = 19.8479 Å, b = 4.2828 Å, c = 9.3127 Å, α = 90.00°, β = 105.37° and γ = 90.00°. The inequivalent atoms are La at (0.0139, 0.0000, 0.2617), La at (0.1665, 0.5000, 0.1222), La at (0.1769, 0.5000, 0.5598), Tl at (0.0000, 0.5000, 0.0000), Pt at (0.1691, 0.0000, 0.3399), Br at (0.0000, 0.5000, 0.5000) and Br at (0.1614, 0.0000, 0.8358).

=====

4.
Entry from Alexandria: a relaxed La2PtWBr crystal (PBE).

As for the energy relative to the elements, uncorrected: 0.34 eV/atom.

It has space group P4/mmm (No. 123), with a = 5.5682 Å, b = 5.5682 Å, c = 4.7862 Å, α = 90.00°, β = 90.00° and γ = 90.00°. The inequivalent atoms are La at (0.0000, 0.5000, 0.0000), Pt at (0.0000, 0.0000, 0.5000), W at (0.5000, 0.5000, 0.0000) and Br at (0.5000, 0.5000, 0.5000).

=====

5.
Entry from Alexandria: a relaxed LaYPtBr crystal (PBE).

As for the energy relative to the elements, uncorrected: -1.27 eV/atom.

It has space group R3m (No. 160, hexagonal axes), with a = 4.1417 Å, b = 4.1417 Å, c = 23.5689 Å, α = 90.00°, β = 90.00° and γ = 120.00°. The inequivalent atoms are La at (0.0000, 0.0000, 0.0000), Y at (0.0000, 0.0000, 0.7998), Pt at (0.0000, 0.0000, 0.4036) and Br at (0.0000, 0.0000, 0.2286).

=====

6.
Entry from Alexandria: a relaxed La8ZnPt3Br4 crystal (PBE).

As for the energy relative to the elements, uncorrected: -1.17 eV/atom.

It has space group C2/m (No. 12), with a = 14.9410 Å, b = 8.6172 Å, c = 9.2232 Å, α = 90.00°, β = 122.70° and γ = 90.00°. The inequivalent atoms are La at (0.0166, 0.2427, 0.2931), La at (0.2358, 0.0000, 0.7066), La at (0.2405, 0.5000, 0.7068), Zn at (0.0000, 0.5000, 0.5000), Pt at (0.0000, 0.0000, 0.5000), Pt at (0.2500, 0.2500, 0.5000), Br at (0.0000, 0.0000, 0.0000), Br at (0.0000, 0.5000, 0.0000) and Br at (0.2500, 0.2500, 0.0000).

=====

7.
Entry from Alexandria: a relaxed La2PuBr8 crystal (PBE).

As for the energy relative to the elements, uncorrected: -1.71 eV/atom.

It has space group C2/m (No. 12), with a = 9.3556 Å, b = 19.6847 Å, c = 5.3461 Å, α = 90.00°, β = 117.18° and γ = 90.00°. The inequivalent atoms are La at (0.0000, 0.1183, 0.0000), Pu at (0.0000, 0.5000, 0.5000), Br at (0.0000, 0.1903, 0.5000), Br at (0.1507, 0.0000, 0.4036) and Br at (0.1601, 0.3844, 0.8852).

=====

8.
Entry from Alexandria: a relaxed La2PuBr crystal (PBE).

As for the energy relative to the elements, uncorrected: -0.50 eV/atom.

It has space group R-3m (No. 166, hexagonal axes), with a = 3.7772 Å, b = 3.7772 Å, c = 31.2603 Å, α = 90.00°, β = 90.00° and γ = 120.00°. The inequivalent atoms are La at (0.0000, 0.0000, 0.2451), Pu at (0.0000, 0.0000, 0.0000) and Br at (0.0000, 0.0000, 0.5000).